# TmCuSe

A geometry-optimized TmCuSe structure (GGA-PBE, Alexandria).

```
6
Lattice="1.836 -8.032 0.000 1.836 8.032 0.000 0.000 0.000 4.129" Properties=species:S:1:pos:R:3 pbc="T T T"
Tm 1.836 6.098 3.097
Tm 1.836 -6.098 1.032
Cu 1.836 0.514 3.097
Cu 1.836 -0.514 1.032
Se 1.836 2.932 3.097
Se 1.836 -2.932 1.032
```

Output
- total magnetization (μB/f.u.) = 0.00
- space group = Cmcm (63)
- density of states at the Fermi level (states/eV/cell) = 1.134
- formation energy from raw total energies (eV per atom) = -0.9973
- raw total energy (eV/atom) = -5.015